No. 1
La2Tb3Ho3 | the Alexandria database | GGA-PBE | relaxed; size of the total moment = 0.00 μB per formula unit; energy of formation from the pure elements = 126 meV per atom
1.0
-1.377 1.891 -2.739
4.849 -6.205 -4.352
-13.402 -10.241 -0.332
Ho La Tb
6 4 6
Direct
0.420 0.841 0.750
0.580 0.159 0.250
0.004 0.008 0.100
0.004 0.008 0.400
0.996 0.992 0.600
0.996 0.992 0.900
0.778 0.555 0.849
0.222 0.445 0.151
0.778 0.555 0.651
0.222 0.445 0.349
0.643 0.286 0.512
0.357 0.714 0.488
0.643 0.286 0.988
0.357 0.714 0.012
0.394 0.788 0.250
0.606 0.212 0.750



No. 2
NaLaY2Te4 | the Alexandria database | GGA-PBE | relaxed; formation energy from raw total energies = -1.396 eV per atom; size of the total moment = 0.00 μB per formula unit
1.0
-1.078 3.926 -1.716
-5.773 -3.288 -3.897
-2.658 2.323 6.985
Na Te Y La
1 4 2 1
Direct
0.000 0.000 0.000
0.500 0.251 0.261
0.500 0.749 0.739
0.000 0.241 0.738
0.000 0.759 0.262
0.000 0.500 0.500
0.500 0.000 0.500
0.500 0.500 0.000



No. 3
TbNdTe2Se | the Alexandria database | GGA-PBE | relaxed; formation energy from raw total energies = -1.425 eV per atom; size of the total moment = 0.00 μB per formula unit
1.0
4.372 0.000 0.000
0.000 4.372 0.000
0.000 0.000 15.710
Te Nd Se Tb
4 2 2 2
Direct
0.000 0.500 0.109
0.500 0.000 0.289
0.500 0.000 0.891
0.000 0.500 0.711
0.000 0.500 0.368
0.500 0.000 0.632
0.000 0.000 0.500
0.500 0.500 0.500
0.000 0.500 0.910
0.500 0.000 0.090



No. 4
TbTm8Sc3 | the Alexandria database | GGA-PBE | relaxed; size of the total moment = 0.00 μB per formula unit; energy of formation from the pure elements = 706 meV per atom
1.0
6.468 0.000 -3.659
-2.070 6.128 -3.659
0.833 1.160 9.019
Tm Tb Sc
8 1 3
Direct
0.381 0.874 0.255
0.619 0.126 0.745
0.381 0.381 0.255
0.126 0.126 0.745
0.126 0.619 0.745
0.874 0.874 0.255
0.619 0.619 0.745
0.874 0.381 0.255
0.000 0.000 0.000
0.500 0.500 0.000
0.750 0.250 0.500
0.250 0.750 0.500



No. 5
MgTiHg3 | the Alexandria database | GGA-PBE | relaxed; size of the total moment = 2.13 μB per formula unit; energy of formation from the pure elements = 491 meV per atom
1.0
5.344 0.000 0.000
0.000 5.344 0.000
0.000 0.000 5.344
Mg Hg Ti
1 3 1
Direct
0.500 0.500 0.500
0.500 0.000 0.000
0.000 0.000 0.500
0.000 0.500 0.000
0.000 0.000 0.000



No. 6
TaReTc2 | the Alexandria database | GGA-PBE | relaxed; size of the total moment = 0.00 μB per formula unit; energy of formation from the pure elements = -72 meV per atom
1.0
-0.991 2.627 -1.372
-1.619 -1.692 -2.070
-5.054 0.111 3.862
Ta Tc Re
1 2 1
Direct
0.500 0.500 0.750
0.000 0.000 0.503
0.000 0.000 0.997
0.500 0.500 0.250



No. 7
Ba2Li2TbTl5 | the Alexandria database | GGA-PBE | relaxed; size of the total moment = 0.00 μB per formula unit; energy of formation from the pure elements = -324 meV per atom
1.0
-0.638 2.117 3.361
7.208 -7.491 6.087
9.462 6.987 -2.605
Li Ba Tb Tl
4 4 2 10
Direct
0.000 0.121 0.621
0.000 0.621 0.879
0.000 0.379 0.121
0.000 0.879 0.379
0.000 0.322 0.822
0.000 0.822 0.678
0.000 0.678 0.178
0.000 0.178 0.322
0.000 0.000 0.000
0.000 0.500 0.500
0.500 0.500 0.000
0.500 0.000 0.500
0.500 0.561 0.707
0.500 0.293 0.561
0.500 0.793 0.939
0.500 0.707 0.439
0.500 0.939 0.207
0.500 0.207 0.061
0.500 0.439 0.293
0.500 0.061 0.793



No. 8
KRb2SnF6 | the Alexandria database | GGA-PBE | relaxed; formation energy from raw total energies = -2.639 eV per atom; size of the total moment = 0.00 μB per formula unit
1.0
6.711 0.000 0.000
3.356 5.812 0.000
3.356 1.937 11.447
F Rb Sn K
12 4 2 2
Direct
0.377 0.871 0.375
0.174 0.174 0.898
0.826 0.826 0.102
0.623 0.129 0.625
0.377 0.377 0.375
0.174 0.753 0.898
0.753 0.174 0.898
0.871 0.377 0.375
0.623 0.623 0.625
0.129 0.623 0.625
0.247 0.826 0.102
0.826 0.247 0.102
0.855 0.855 0.436
0.264 0.264 0.209
0.145 0.145 0.564
0.736 0.736 0.791
0.500 0.500 0.500
0.000 0.000 0.000
0.404 0.404 0.789
0.596 0.596 0.211



No. 9
Ca2Ga4Ni3Rh | the Alexandria database | GGA-PBE | relaxed; size of the total moment = 0.00 μB per formula unit; energy of formation from the pure elements = -517 meV per atom
1.0
4.149 0.000 0.000
0.000 4.149 0.000
0.000 0.000 10.034
Ga Ni Ca Rh
4 3 2 1
Direct
0.500 0.500 0.000
0.000 0.500 0.368
0.500 0.000 0.632
0.000 0.000 0.000
0.500 0.000 0.871
0.000 0.000 0.500
0.000 0.500 0.129
0.000 0.500 0.747
0.500 0.000 0.253
0.500 0.500 0.500